# 1
Below is a geometry-optimized Ru3Pt4Rh2 structure, with properties calculated at the GGA-PBE level.

Calculated values
The density of states at the Fermi level comes out at 1.67 states/eV per atom. The value obtained for the formation energy is 23.4 kJ/mol of atoms.

a b c (Å): 5.324 5.324 6.519
angles (deg): 99.54 99.54 126.46
Each line ends with the local moment (μB).
Atoms (fractional coordinates):
Pt: 0.046 0.327 0.373  0.02
Ru: 0.000 0.500 0.000  0.20
Ru: 0.000 0.000 0.000  0.08
Pt: 0.673 0.954 0.627  0.02
Rh: 0.391 0.391 0.781  0.15
Ru: 0.500 0.000 0.000  0.20
Pt: 0.954 0.673 0.627  0.02
Rh: 0.609 0.609 0.219  0.15
Pt: 0.327 0.046 0.373  0.02

# 2
Below is a geometry-optimized Ru3PtRh structure, with properties calculated at the GGA-PBE level.

Calculated values
The density of states at the Fermi level comes out at 1.55 states/eV per atom. The calculation puts the excess energy over the best structure of this formula in the dataset at 1.809 eV per atom. The value obtained for the formation energy is 186.6 kJ/mol of atoms.

a b c (Å): 4.609 4.609 4.609
angles (deg): 90.00 90.00 90.00
Each line ends with the local moment (μB).
Atoms (fractional coordinates):
Ru: 0.000 0.000 0.500  1.05
Pt: 0.500 0.500 0.500  0.25
Rh: 0.000 0.000 0.000  0.02
Ru: 0.000 0.500 0.000  1.04
Ru: 0.500 0.000 0.000  0.98

# 3
Below is a geometry-optimized RuPt4Rh7 structure, with properties calculated at the GGA-PBE level.

Calculated values
The density of states at the Fermi level comes out at 1.49 states/eV per atom. The value obtained for the formation energy is -0.7 kJ/mol of atoms.

a b c (Å): 2.746 2.746 26.940
angles (deg): 90.00 90.00 120.00
Atoms (fractional coordinates):
Pt: 0.333 0.667 0.666
Pt: 0.667 0.333 0.334
Rh: 0.667 0.333 0.580
Rh: 0.000 0.000 0.249
Rh: 0.667 0.333 0.831
Ru: 0.000 0.000 0.500
Rh: 0.333 0.667 0.169
Rh: 0.333 0.667 0.420
Rh: 0.000 0.000 0.751
Pt: 0.667 0.333 0.084
Rh: 0.000 0.000 0.000
Pt: 0.333 0.667 0.916

# 4
Below is a geometry-optimized RuPt4Rh5 structure, with properties calculated at the GGA-PBE level.

Calculated values
The density of states at the Fermi level comes out at 1.43 states/eV per atom. The value obtained for the formation energy is -2.9 kJ/mol of atoms.

a b c (Å): 2.745 2.745 19.532
angles (deg): 90.00 90.00 90.00
Atoms (fractional coordinates):
Rh: 0.500 0.500 0.905
Pt: 0.000 0.000 0.400
Ru: 0.000 0.000 0.000
Rh: 0.500 0.500 0.300
Rh: 0.500 0.500 0.700
Pt: 0.000 0.000 0.198
Pt: 0.000 0.000 0.600
Pt: 0.000 0.000 0.802
Rh: 0.500 0.500 0.500
Rh: 0.500 0.500 0.095